[1]
{"formula": "SbPd6Pt", "functional": "GGA-PBE", "state": "relaxed", "lattice": [[6.6210, 0.0000, 0.0000], [0.0000, 9.2065, 0.0000], [-3.2544, 0.0000, 4.3654]], "species": ["Sb", "Sb", "Pd", "Pd", "Pd", "Pd", "Pd", "Pd", "Pd", "Pd", "Pd", "Pd", "Pd", "Pd", "Pt", "Pt"], "fractional_positions": [[0.0000, 0.0000, 0.0000], [0.5000, 0.5000, 0.0000], [0.0072, 0.5000, 0.7589], [0.2488, 0.2471, 0.2515], [0.2488, 0.7529, 0.2515], [0.2512, 0.2529, 0.7485], [0.2512, 0.7471, 0.7485], [0.4928, 0.0000, 0.2411], [0.5072, 0.0000, 0.7589], [0.7488, 0.2529, 0.2515], [0.7488, 0.7471, 0.2515], [0.7512, 0.2471, 0.7485], [0.7512, 0.7529, 0.7485], [0.9928, 0.5000, 0.2411], [0.0000, 0.0000, 0.5000], [0.5000, 0.5000, 0.5000]], "relative_energy_ev_per_atom": 0.000, "sg": "C2/m (12)", "e_form_raw_ev_per_atom": -0.117, "vol_a3_per_cell": 266}

=====

[2]
{"formula": "SbPdPt", "functional": "GGA-PBE", "state": "relaxed", "lattice": [[4.4842, 0.0000, 0.0000], [-2.2421, 3.8834, 0.0000], [0.0000, 0.0000, 3.1253]], "species": ["Sb", "Pd", "Pt"], "fractional_positions": [[0.0000, 0.0000, 0.0000], [0.3333, 0.6667, 0.3566], [0.6667, 0.3333, 0.8346]], "sg": "P3m1 (156)", "e_form_raw_ev_per_atom": -0.257, "vol_a3_per_cell": 54}

=====

[3]
{"formula": "Sb2PdPt", "functional": "GGA-PBE", "state": "relaxed", "lattice": [[3.8847, 0.0000, 0.0000], [1.9348, 4.3054, 0.0000], [0.0180, 0.0139, 5.4492]], "species": ["Sb", "Sb", "Pd", "Pt"], "fractional_positions": [[0.0000, 0.0000, 0.0000], [0.2682, 0.4667, 0.4620], [0.2994, 0.4028, 0.9575], [0.5799, 0.8433, 0.6581]], "relative_energy_ev_per_atom": 0.010, "sg": "P1 (1)", "e_form_raw_ev_per_atom": -0.274, "vol_a3_per_cell": 91}

=====

[4]
{"formula": "Sb8PdPt2", "functional": "GGA-PBE", "state": "relaxed", "lattice": [[4.7178, 0.0000, 0.0000], [2.3366, 8.1285, 0.0000], [0.0130, 3.3866, 8.3120]], "species": ["Sb", "Sb", "Sb", "Sb", "Sb", "Sb", "Sb", "Sb", "Pd", "Pt", "Pt"], "fractional_positions": [[0.0519, 0.3976, 0.3686], [0.1304, 0.2413, 0.8743], [0.3271, 0.8440, 0.2815], [0.4204, 0.6600, 0.8571], [0.5796, 0.3400, 0.1429], [0.6729, 0.1560, 0.7185], [0.8696, 0.7587, 0.1257], [0.9481, 0.6024, 0.6314], [0.5000, 0.5000, 0.5000], [0.1520, 0.1932, 0.1798], [0.8480, 0.8068, 0.8202]], "sg": "P-1 (2)", "e_form_raw_ev_per_atom": -0.096, "vol_a3_per_cell": 319}

=====

[5]
{"formula": "Sb2Pd8Pt", "functional": "GGA-PBE", "state": "relaxed", "lattice": [[-2.0819, 3.7093, 6.0120], [2.0819, -3.7093, 6.0120], [2.0819, 3.7093, -6.0120]], "species": ["Sb", "Sb", "Pd", "Pd", "Pd", "Pd", "Pd", "Pd", "Pd", "Pd", "Pt"], "fractional_positions": [[0.1831, 0.1831, 0.0000], [0.8169, 0.8169, 0.0000], [0.0724, 0.3409, 0.7316], [0.2115, 0.0000, 0.2115], [0.3475, 0.8475, 0.5000], [0.3907, 0.6591, 0.7316], [0.6093, 0.3409, 0.2684], [0.6525, 0.1525, 0.5000], [0.7885, 0.0000, 0.7885], [0.9276, 0.6591, 0.2684], [0.5000, 0.5000, 0.0000]], "relative_energy_ev_per_atom": 0.000, "sg": "Immm (71)", "e_form_raw_ev_per_atom": -0.299, "vol_a3_per_cell": 186}

=====

[6]
{"formula": "Sb3Pd12Pt4", "functional": "GGA-PBE", "state": "relaxed", "lattice": [[-4.7821, 4.7821, 4.7821], [4.7821, -4.7821, 4.7821], [4.7821, 4.7821, -4.7821]], "species": ["Sb", "Sb", "Sb", "Pd", "Pd", "Pd", "Pd", "Pd", "Pd", "Pd", "Pd", "Pd", "Pd", "Pd", "Pd", "Pt", "Pt", "Pt", "Pt"], "fractional_positions": [[0.0000, 0.5000, 0.5000], [0.5000, 0.0000, 0.5000], [0.5000, 0.5000, 0.0000], [0.1083, 0.3569, 0.7514], [0.2486, 0.6055, 0.3569], [0.2486, 0.8917, 0.6431], [0.3569, 0.2486, 0.6055], [0.3569, 0.7514, 0.1083], [0.3945, 0.6431, 0.7514], [0.6055, 0.3569, 0.2486], [0.6431, 0.2486, 0.8917], [0.6431, 0.7514, 0.3945], [0.7514, 0.1083, 0.3569], [0.7514, 0.3945, 0.6431], [0.8917, 0.6431, 0.2486], [0.0000, 0.0000, 0.5000], [0.0000, 0.5000, 0.0000], [0.5000, 0.0000, 0.0000], [0.5000, 0.5000, 0.5000]], "sg": "Im-3 (204)", "e_form_raw_ev_per_atom": 0.199, "vol_a3_per_cell": 437}

=====

[7]
{"formula": "SbPd6Pt23", "functional": "GGA-PBE", "state": "relaxed", "lattice": [[-3.9396, 3.9396, 7.8754], [3.9396, -3.9396, 7.8754], [3.9396, 3.9396, -7.8754]], "species": ["Sb", "Pd", "Pd", "Pd", "Pd", "Pd", "Pd", "Pt", "Pt", "Pt", "Pt", "Pt", "Pt", "Pt", "Pt", "Pt", "Pt", "Pt", "Pt", "Pt", "Pt", "Pt", "Pt", "Pt", "Pt", "Pt", "Pt", "Pt", "Pt", "Pt"], "fractional_positions": [[0.0000, 0.0000, 0.0000], [0.2472, 0.2472, 0.4944], [0.2472, 0.7528, 0.0000], [0.2502, 0.2502, 0.0000], [0.7498, 0.7498, 0.0000], [0.7528, 0.2472, 0.0000], [0.7528, 0.7528, 0.5056], [0.0000, 0.0000, 0.5000], [0.0000, 0.5000, 0.0000], [0.0000, 0.5000, 0.5000], [0.1204, 0.3724, 0.7480], [0.1272, 0.8692, 0.2581], [0.1308, 0.3889, 0.2581], [0.1308, 0.8728, 0.7419], [0.3724, 0.1204, 0.7480], [0.3724, 0.6244, 0.2520], [0.3756, 0.6276, 0.7480], [0.3889, 0.1308, 0.2581], [0.5000, 0.0000, 0.0000], [0.5000, 0.0000, 0.5000], [0.5000, 0.5000, 0.0000], [0.5000, 0.5000, 0.5000], [0.6111, 0.8692, 0.7419], [0.6244, 0.3724, 0.2520], [0.6276, 0.3756, 0.7480], [0.6276, 0.8796, 0.2520], [0.8692, 0.1272, 0.2581], [0.8692, 0.6111, 0.7419], [0.8728, 0.1308, 0.7419], [0.8796, 0.6276, 0.2520]], "sg": "I4/mmm (139)", "e_form_raw_ev_per_atom": -0.026, "vol_a3_per_cell": 489}

=====

[8]
{"formula": "Sb4Pd5Pt2", "functional": "GGA-PBE", "state": "relaxed", "lattice": [[-1.6746, 4.1770, 8.0034], [1.6746, -4.1770, 8.0034], [1.6746, 4.1770, -8.0034]], "species": ["Sb", "Sb", "Sb", "Sb", "Pd", "Pd", "Pd", "Pd", "Pd", "Pt", "Pt"], "fractional_positions": [[0.2466, 0.2466, 0.0000], [0.2754, 0.0000, 0.2754], [0.7246, 0.0000, 0.7246], [0.7534, 0.7534, 0.0000], [0.0000, 0.5000, 0.5000], [0.1060, 0.8240, 0.2821], [0.4581, 0.1760, 0.2821], [0.5419, 0.8240, 0.7179], [0.8940, 0.1760, 0.7179], [0.4137, 0.4137, 0.0000], [0.5863, 0.5863, 0.0000]], "sg": "Immm (71)", "e_form_raw_ev_per_atom": -0.241, "vol_a3_per_cell": 224}

=====

[9]
{"formula": "Sb2PdPt", "functional": "GGA-PBE", "state": "relaxed", "lattice": [[6.8209, 0.0000, 0.0000], [0.0000, 6.8209, 0.0000], [0.0000, 0.0000, 6.8209]], "species": ["Sb", "Sb", "Sb", "Sb", "Sb", "Sb", "Sb", "Sb", "Pd", "Pd", "Pd", "Pd", "Pt", "Pt", "Pt", "Pt"], "fractional_positions": [[0.2500, 0.2500, 0.2500], [0.2500, 0.2500, 0.7500], [0.2500, 0.7500, 0.2500], [0.2500, 0.7500, 0.7500], [0.7500, 0.2500, 0.2500], [0.7500, 0.2500, 0.7500], [0.7500, 0.7500, 0.2500], [0.7500, 0.7500, 0.7500], [0.0000, 0.0000, 0.0000], [0.0000, 0.5000, 0.5000], [0.5000, 0.0000, 0.5000], [0.5000, 0.5000, 0.0000], [0.0000, 0.0000, 0.5000], [0.0000, 0.5000, 0.0000], [0.5000, 0.0000, 0.0000], [0.5000, 0.5000, 0.5000]], "relative_energy_ev_per_atom": 0.089, "sg": "Fm-3m (225)", "e_form_raw_ev_per_atom": -0.195, "vol_a3_per_cell": 317}

=====

[10]
{"formula": "Sb2Pd8Pt", "functional": "GGA-PBE", "state": "relaxed", "lattice": [[7.2239, -2.0602, 0.0000], [7.2239, 2.0602, 0.0000], [-2.3127, 0.0000, 6.1201]], "species": ["Sb", "Sb", "Pd", "Pd", "Pd", "Pd", "Pd", "Pd", "Pd", "Pd", "Pt"], "fractional_positions": [[0.2069, 0.2069, 0.1675], [0.7931, 0.7931, 0.8325], [0.0368, 0.0368, 0.2407], [0.1504, 0.1504, 0.7124], [0.3262, 0.3262, 0.5818], [0.4075, 0.4075, 0.0478], [0.5925, 0.5925, 0.9522], [0.6738, 0.6738, 0.4182], [0.8496, 0.8496, 0.2876], [0.9632, 0.9632, 0.7593], [0.5000, 0.5000, 0.5000]], "relative_energy_ev_per_atom": 0.022, "sg": "C2/m (12)", "e_form_raw_ev_per_atom": -0.278, "vol_a3_per_cell": 182}

=====

[11]
{"formula": "SbPdPt2", "functional": "GGA-PBE", "state": "relaxed", "lattice": [[4.9391, 0.0000, 0.0000], [0.0000, 4.9391, 0.0000], [0.0000, 0.0000, 17.9063]], "species": ["Sb", "Sb", "Sb", "Sb", "Pd", "Pd", "Pd", "Pd", "Pt", "Pt", "Pt", "Pt", "Pt", "Pt", "Pt", "Pt"], "fractional_positions": [[0.0000, 0.2500, 0.3750], [0.0000, 0.7500, 0.6250], [0.5000, 0.2500, 0.1250], [0.5000, 0.7500, 0.8750], [0.0000, 0.2500, 0.8750], [0.0000, 0.7500, 0.1250], [0.5000, 0.2500, 0.6250], [0.5000, 0.7500, 0.3750], [0.0000, 0.0000, 0.5000], [0.0000, 0.5000, 0.5000], [0.2500, 0.2500, 0.2500], [0.2500, 0.7500, 0.7500], [0.5000, 0.0000, 0.0000], [0.5000, 0.5000, 0.0000], [0.7500, 0.2500, 0.2500], [0.7500, 0.7500, 0.7500]], "sg": "I4_1/amd (141)", "e_form_raw_ev_per_atom": 0.755, "vol_a3_per_cell": 437}

=====

[12]
{"formula": "SbPdPt3", "functional": "GGA-PBE", "state": "relaxed", "lattice": [[9.4485, 0.0000, 0.0000], [0.0000, 4.0424, 0.0000], [0.0000, 0.0000, 9.1867]], "species": ["Sb", "Sb", "Sb", "Sb", "Pd", "Pd", "Pd", "Pd", "Pt", "Pt", "Pt", "Pt", "Pt", "Pt", "Pt", "Pt", "Pt", "Pt", "Pt", "Pt"], "fractional_positions": [[0.1102, 0.2500, 0.1533], [0.3898, 0.7500, 0.6533], [0.6102, 0.2500, 0.3467], [0.8898, 0.7500, 0.8467], [0.2413, 0.2500, 0.5024], [0.2587, 0.7500, 0.0024], [0.7413, 0.2500, 0.9976], [0.7587, 0.7500, 0.4976], [0.0996, 0.7500, 0.3541], [0.1058, 0.2500, 0.8618], [0.1084, 0.7500, 0.6506], [0.3916, 0.2500, 0.1506], [0.3942, 0.7500, 0.3618], [0.4004, 0.2500, 0.8541], [0.5996, 0.7500, 0.1459], [0.6058, 0.2500, 0.6382], [0.6084, 0.7500, 0.8494], [0.8916, 0.2500, 0.3494], [0.8942, 0.7500, 0.1382], [0.9004, 0.2500, 0.6459]], "relative_energy_ev_per_atom": 0.055, "sg": "Pnma (62)", "e_form_raw_ev_per_atom": -0.140, "vol_a3_per_cell": 351}